# GGA-PBE CoCuRu, relaxed
# - Total moment: 2.968 μB per cell
# - Mass density: 10.05 g/cm³
# - E_form: 0.2419 eV/atom
# - Polymorph energy (0 for the lowest one): 38 meV per atom
data_CoCuRu
_cell_length_a 2.620
_cell_length_b 3.588
_cell_length_c 7.859
_cell_angle_alpha 90.00
_cell_angle_beta 90.00
_cell_angle_gamma 90.00
_space_group_name_H-M_alt 'I m m 2'
_space_group_IT_number 44
loop_
_space_group_symop_operation_xyz
'x,y,z'
'-x,-y,z'
'-x,y,z'
'x,-y,z'
'x+1/2,y+1/2,z+1/2'
'-x+1/2,-y+1/2,z+1/2'
'-x+1/2,y+1/2,z+1/2'
'x+1/2,-y+1/2,z+1/2'
loop_
_atom_site_label
_atom_site_type_symbol
_atom_site_fract_x
_atom_site_fract_y
_atom_site_fract_z
Co1 Co 0.000 0.000 0.000
Cu1 Cu 0.000 0.000 0.668
Ru1 Ru 0.000 0.000 0.342